{"formula": "CdRu2Au", "functional": "meta-GGA SCAN", "state": "single point on PBEsol structure", "energy_ev_per_atom": -41.893, "n_ef_per_ev_atom": 0.900, "crystal_system": "orthorhombic", "magnetic_moment_mub_per_fu": 0.0, "formation_energy_ev_per_atom": 0.413, "cell": [[2.8405, 0.0000, 0.0000], [0.0000, 4.7140, 0.0000], [-1.4202, -2.3570, 4.7073]], "species": ["Ru", "Ru", "Cd", "Au"], "fractional_positions": [[0.0178, 0.0178, 0.0355], [0.7342, 0.2342, 0.4685], [0.2566, 0.7566, 0.5132], [0.4914, 0.4914, 0.9828]]}